Here is a relaxed Sr2Cu2Ni crystal from the Alexandria database. Energies are from PBE.

Summary:
* volume: 22.9 A^3/atom
* formation energy from the elements: 147 meV per atom
* offset from the most stable computed form: 0.5 kJ per mole of atoms

The structure in POSCAR format:
```
Sr2Cu2Ni
1.0
-2.0940 -2.8305 0.6394
2.8913 -1.9678 0.7574
-0.2186 -0.0051 9.2742
Sr Ni Cu
2 1 2
Direct
0.3977 0.3977 0.2045
0.6023 0.6023 0.7955
0.0000 0.0000 0.0000
0.2500 0.7500 0.5000
0.7500 0.2500 0.5000
```